# 1
Material: K3Pu3TaSe8
Method: DFT, PBE
State: optimized geometry

E_form (uncorrected) (eV per atom): -1.274
Volume (Å³ per atom): 31.10
Uncorrected energy (eV/atom): -7.008

a = 8.293 Å, b = 8.291 Å, c = 9.169 Å
α = 116.73°, β = 90.00°, γ = 120.01°
Atoms (fractional coordinates):
K1 0.500 0.500 0.000
K2 0.000 0.000 0.000
K3 0.000 0.500 0.000
Se1 0.239 0.023 0.307
Se2 0.263 0.525 0.290
Se3 0.761 0.977 0.693
Se4 0.216 0.977 0.693
Se5 0.737 0.475 0.710
Se6 0.783 0.566 0.308
Se7 0.784 0.023 0.307
Se8 0.217 0.434 0.692
Pu1 0.000 0.500 0.500
Pu2 0.500 0.000 0.500
Pu3 0.500 0.500 0.500
Ta1 0.000 0.000 0.500

# 2
Material: LiGa2Cu4
Method: DFT, PBE
State: optimized geometry

Volume (Å³ per atom): 12.96
Uncorrected energy (eV/atom): -3.632
Energy relative to the lowest polymorph listed for this composition (eV per atom): 0.0000
Formation energy (eV/f.u.): -1.1

a = 7.005 Å, b = 7.039 Å, c = 6.270 Å
α = 104.54°, β = 118.06°, γ = 120.16°
Atoms (fractional coordinates):
Cu1 0.686 0.586 0.010
Cu2 0.508 0.246 0.503
Cu3 0.384 0.149 0.998
Cu4 0.648 0.961 0.501
Cu5 0.105 0.726 0.997
Cu6 0.367 0.538 0.505
Cu7 0.240 0.433 0.003
Cu8 0.919 0.367 0.481
Ga1 0.503 0.841 0.986
Ga2 0.828 0.305 0.998
Ga3 0.772 0.655 0.493
Ga4 0.099 0.117 0.519
Li1 0.966 0.009 0.007
Li2 0.223 0.816 0.497